Material: Cs2PaH2S4
Method: DFT, PBE
State: optimized geometry

The space group is C2/m (No. 12) and the conventional cell measures 18.245, 3.707 and 7.620 Å, with angles of 90.00, 114.65 and 90.00 degrees. The distinct sites, in fractional coordinates, are Cs at (0.148, 0.000, 0.148), Pa at (0.000, 0.000, 0.500), H at (0.161, 0.500, 0.660), S at (0.000, 0.500, 0.249) and S at (0.166, 0.000, 0.665).

Its raw total energy is -4.744 eV/atom. The value obtained for the magnetic moment is 0.5 μB per formula unit. Its volume is 26.02 Å³/atom. Its density of states at the Fermi level is 0.305 states/eV/atom.

=====

Material: CsHPb
Method: DFT, PBE
State: optimized geometry

The space group is P-1 (No. 2) and the conventional cell measures 4.026, 4.498 and 11.829 Å, with angles of 79.07, 81.83 and 88.90 degrees. The distinct sites, in fractional coordinates, are Cs at (0.083, 0.103, 0.292), H at (0.099, 0.499, 0.500) and Pb at (0.302, 0.284, 0.936).

The value obtained for the magnetic moment is 0.0 μB per formula unit. Its volume is 34.70 Å³/atom. Its density of states at the Fermi level is 0.247 states/eV/atom. The value obtained for the excess energy over the best structure of this formula in the dataset is 93.9 meV per atom.

=====

Material: Cs2HPb2
Method: DFT, PBE
State: optimized geometry

The space group is I4/mmm (No. 139) and the conventional cell measures 4.418, 4.418 and 21.604 Å, with angles of 90.00, 90.00 and 90.00 degrees. The distinct sites, in fractional coordinates, are Cs at (0.000, 0.000, 0.088), H at (0.000, 0.000, 0.500) and Pb at (0.000, 0.500, 0.250).

The value obtained for the magnetic moment is 0.0 μB per formula unit. Its volume is 42.17 Å³/atom. Its density of states at the Fermi level is 0.550 states/eV/atom. The value obtained for the excess energy over the best structure of this formula in the dataset is 0.0 meV per atom.

=====

Material: CsH2Pb2
Method: DFT, PBE
State: optimized geometry

The space group is P-1 (No. 2) and the conventional cell measures 3.897, 5.567 and 7.281 Å, with angles of 85.57, 74.83 and 89.59 degrees. The distinct sites, in fractional coordinates, are Cs at (0.000, 0.000, 0.000), H at (0.391, 0.285, 0.218) and Pb at (0.256, 0.258, 0.491).

Its raw total energy is -2.981 eV/atom. The value obtained for the magnetic moment is 0.0 μB per formula unit. Its volume is 30.40 Å³/atom. Its density of states at the Fermi level is 0.184 states/eV/atom.

=====

Material: Cs2H2Pb
Method: DFT, PBE
State: optimized geometry

The space group is P4/mbm (No. 127) and the conventional cell measures 8.507, 8.507 and 4.148 Å, with angles of 90.00, 90.00 and 90.00 degrees. The distinct sites, in fractional coordinates, are Cs at (0.151, 0.349, 0.000), H at (0.169, 0.669, 0.500) and Pb at (0.000, 0.000, 0.500).

Its raw total energy is -2.235 eV/atom. The value obtained for the magnetic moment is 0.0 μB per formula unit. Its volume is 30.01 Å³/atom. Its density of states at the Fermi level is 0.764 states/eV/atom.

=====

Material: Cs12H5Pb3
Method: DFT, PBE
State: optimized geometry

The space group is Ia-3d (No. 230) and the conventional cell measures 20.360, 20.360 and 20.360 Å, with angles of 90.00, 90.00 and 90.00 degrees. The distinct sites, in fractional coordinates, are Cs at (0.031, 0.052, 0.649), H at (0.000, 0.000, 0.000), H at (0.000, 0.250, 0.375) and Pb at (0.000, 0.250, 0.125).

Its raw total energy is -1.944 eV/atom. The value obtained for the magnetic moment is 5.1 μB per formula unit. Its volume is 52.75 Å³/atom. Its density of states at the Fermi level is 0.562 states/eV/atom.

=====

Material: Cs11H5Pb
Method: DFT, PBE
State: optimized geometry

The space group is C2/m (No. 12) and the conventional cell measures 12.236, 19.103 and 9.100 Å, with angles of 90.00, 116.36 and 90.00 degrees. The distinct sites, in fractional coordinates, are Cs at (0.000, 0.000, 0.000), Cs at (0.079, 0.181, 0.814), Cs at (0.152, 0.500, 0.901), Cs at (0.201, 0.390, 0.502), H at (0.000, 0.500, 0.500), H at (0.189, 0.115, 0.137) and Pb at (0.000, 0.000, 0.500).

Its raw total energy is -1.796 eV/atom. The value obtained for the magnetic moment is 0.7 μB per formula unit. Its volume is 56.05 Å³/atom. Its density of states at the Fermi level is 0.463 states/eV/atom.

=====

Material: Cs2HPb2
Method: DFT, PBE
State: optimized geometry

The space group is I4/mmm (No. 139) and the conventional cell measures 7.806, 7.806 and 7.500 Å, with angles of 90.00, 90.00 and 90.00 degrees. The distinct sites, in fractional coordinates, are Cs at (0.000, 0.500, 0.250), H at (0.000, 0.000, 0.000) and Pb at (0.000, 0.000, 0.304).

The value obtained for the magnetic moment is 0.0 μB per formula unit. Its volume is 45.71 Å³/atom. Its density of states at the Fermi level is 0.721 states/eV/atom. The value obtained for the excess energy over the best structure of this formula in the dataset is 242.6 meV per atom.

=====

Material: CsHPb
Method: DFT, PBE
State: optimized geometry

The space group is C2/m (No. 12) and the conventional cell measures 13.682, 4.930 and 7.099 Å, with angles of 90.00, 118.72 and 90.00 degrees. The distinct sites, in fractional coordinates, are Cs at (0.087, 0.000, 0.329), H at (0.025, 0.500, 0.559) and Pb at (0.187, 0.500, 0.007).

The value obtained for the magnetic moment is 0.0 μB per formula unit. Its volume is 35.00 Å³/atom. Its density of states at the Fermi level is 0.271 states/eV/atom. The value obtained for the excess energy over the best structure of this formula in the dataset is 30.3 meV per atom.

=====

Material: Cs4HPb2
Method: DFT, PBE
State: optimized geometry

The space group is I4/mmm (No. 139) and the conventional cell measures 6.347, 6.347 and 19.033 Å, with angles of 90.00, 90.00 and 90.00 degrees. The distinct sites, in fractional coordinates, are Cs at (0.000, 0.000, 0.190), Cs at (0.000, 0.500, 0.000), H at (0.000, 0.000, 0.500) and Pb at (0.000, 0.000, 0.386).

Its raw total energy is -1.964 eV/atom. The value obtained for the magnetic moment is 0.0 μB per formula unit. Its volume is 54.76 Å³/atom. Its density of states at the Fermi level is 1.325 states/eV/atom.

=====

Material: CsHPb
Method: DFT, PBE
State: optimized geometry

The space group is C2/m (No. 12) and the conventional cell measures 14.457, 4.820 and 6.372 Å, with angles of 90.00, 113.85 and 90.00 degrees. The distinct sites, in fractional coordinates, are Cs at (0.101, 0.000, 0.340), H at (0.187, 0.500, 0.630) and Pb at (0.172, 0.500, 0.916).

The value obtained for the magnetic moment is 0.0 μB per formula unit. Its volume is 33.84 Å³/atom. The value obtained for the excess energy over the best structure of this formula in the dataset is 4.7 meV per atom.

=====

Material: CsHPb
Method: DFT, PBE
State: optimized geometry

The space group is P-1 (No. 2) and the conventional cell measures 4.982, 5.981 and 7.827 Å, with angles of 111.59, 90.52 and 90.02 degrees. The distinct sites, in fractional coordinates, are Cs at (0.246, 0.349, 0.217), H at (0.252, 0.384, 0.622) and Pb at (0.252, 0.071, 0.637).

The value obtained for the magnetic moment is 0.0 μB per formula unit. Its volume is 36.14 Å³/atom. Its density of states at the Fermi level is 0.122 states/eV/atom. The value obtained for the excess energy over the best structure of this formula in the dataset is 0.0 meV per atom.

=====

Q: Number 6 is which compound?
A: Cs12H5Pb3